MgCu2H2: relaxed, PBE.

Unit cell a=5.382 b=5.382 c=3.572 alpha=90.00 beta=90.00 gamma=90.00
Space group P4/mbm (No. 127)
Unique sites:
Mg  0.000  0.000  0.000 (multiplicity 2)
Cu  0.170  0.330  0.500 (multiplicity 4)
H  0.162  0.338  0.000 (multiplicity 4)

Output
N(E_F) = 1.23 states/eV/f.u.
Offset from the most stable computed form = 4 meV/atom

MgCu3H: relaxed, PBE.

Unit cell a=4.739 b=4.739 c=4.739 alpha=90.00 beta=90.00 gamma=90.00
Space group Pm-3m (No. 221)
Unique sites:
Mg  0.000  0.000  0.000 (multiplicity 1)
Cu  0.000  0.000  0.500 (multiplicity 3)
H  0.500  0.500  0.500 (multiplicity 1)

Output
N(E_F) = 1.75 states/eV/f.u.
Offset from the most stable computed form = 1417 meV/atom

MgCuH3: relaxed, PBE.

Unit cell a=5.270 b=2.912 c=5.662 alpha=90.00 beta=102.04 gamma=90.00
Space group P2_1/m (No. 11)
Unique sites:
Mg  0.230  0.250  0.343 (multiplicity 2)
Cu  0.346  0.250  0.841 (multiplicity 2)
H  0.027  0.250  0.687 (multiplicity 2)
H  0.309  0.750  0.058 (multiplicity 2)
H  0.375  0.750  0.617 (multiplicity 2)

Output
Uncorrected energy = -3.09 eV/atom

Mg3Cu5H12: relaxed, PBE.

Unit cell a=11.029 b=11.029 c=11.029 alpha=90.00 beta=90.00 gamma=90.00
Space group Ia-3d (No. 230)
Unique sites:
Mg  0.000  0.250  0.125 (multiplicity 24)
Cu  0.000  0.000  0.000 (multiplicity 16)
Cu  0.000  0.250  0.375 (multiplicity 24)
H  0.025  0.056  0.653 (multiplicity 96)

Output
Uncorrected energy = -3.21 eV/atom
N(E_F) = 3.28 states/eV/f.u.

Mg2CuH: relaxed, PBE.

Unit cell a=5.944 b=5.944 c=6.704 alpha=90.00 beta=90.00 gamma=90.00
Space group I-42d (No. 122)
Unique sites:
Mg  0.168  0.250  0.125 (multiplicity 8)
Cu  0.000  0.000  0.500 (multiplicity 4)
H  0.000  0.000  0.000 (multiplicity 4)

Output
N(E_F) = 0.26 states/eV/f.u.
Offset from the most stable computed form = 0 meV/atom

MgCu3H: relaxed, PBE.

Unit cell a=3.830 b=3.830 c=3.830 alpha=90.00 beta=90.00 gamma=90.00
Space group Pm-3m (No. 221)
Unique sites:
Mg  0.000  0.000  0.000 (multiplicity 1)
Cu  0.000  0.500  0.500 (multiplicity 3)
H  0.500  0.500  0.500 (multiplicity 1)

Output
N(E_F) = 1.29 states/eV/f.u.
Offset from the most stable computed form = 0 meV/atom

| no. | mass density (Mg/m³) | V (Å³/cell) |
| --- | --- | --- |
| 1 | 4.9 | 103.5 |
| 2 | 3.4 | 106.4 |
| 3 | 3.6 | 85.0 |
| 4 | 4.0 | 1341.7 |
| 5 | 3.2 | 236.8 |
| 6 | 6.4 | 56.2 |